# Ac3Cd8Ag (GGA-PBE, optimized geometry)
# Fermi-level density of states: 14.9 states/eV per cell
# E: -2.091 eV/atom
# formation enthalpy at 0 K: -250 kJ/mol of formula units
data_Ac3Cd8Ag
_symmetry_space_group_name_H-M 'R 3 m'
_symmetry_Int_Tables_number 160
_symmetry_space_group_name_Hall 'R 3 -2"'
_cell_length_a 6.1492
_cell_length_b 6.1492
_cell_length_c 29.9987
_cell_angle_alpha 90.00
_cell_angle_beta 90.00
_cell_angle_gamma 120.00
loop_
_atom_site_label
_atom_site_type_symbol
_atom_site_fract_x
_atom_site_fract_y
_atom_site_fract_z
Ac1 Ac 0.0000 0.0000 0.0000
Ac2 Ac 0.0000 0.0000 0.1272
Ac3 Ac 0.0000 0.0000 0.6145
Cd1 Cd 0.0000 0.0000 0.3109
Cd2 Cd 0.0000 0.0000 0.8119
Cd3 Cd 0.1673 0.3345 0.3950
Cd4 Cd 0.1673 0.3346 0.8931
Ag1 Ag 0.0000 0.0000 0.4858

# CsDyCu2F8 (GGA-PBE, optimized geometry)
# ΔE_f (raw): -2481 meV/atom
# Fermi-level density of states: 37.5 states/eV per cell
# E: -4.866 eV/atom
data_CsDyCu2F8
_symmetry_space_group_name_H-M 'R -3'
_symmetry_Int_Tables_number 148
_symmetry_space_group_name_Hall '-R 3'
_cell_length_a 5.7275
_cell_length_b 5.7275
_cell_length_c 23.3000
_cell_angle_alpha 90.00
_cell_angle_beta 90.00
_cell_angle_gamma 120.00
loop_
_atom_site_label
_atom_site_type_symbol
_atom_site_fract_x
_atom_site_fract_y
_atom_site_fract_z
Cs1 Cs 0.0000 0.0000 0.0000
Dy1 Dy 0.0000 0.0000 0.5000
Cu1 Cu 0.0000 0.0000 0.2445
F1 F 0.0000 0.0000 0.3224
F2 F 0.0088 0.6490 0.1135

# Dy2Ho3Pb2 (GGA-PBE, optimized geometry)
# Fermi-level density of states: 14.9 states/eV per cell
# E: -4.636 eV/atom
# formation enthalpy at 0 K: -203 kJ/mol of formula units
data_Dy2Ho3Pb2
_symmetry_space_group_name_H-M 'C 1 2/m 1'
_symmetry_Int_Tables_number 12
_symmetry_space_group_name_Hall '-C 2y'
_cell_length_a 11.882
_cell_length_b 4.478
_cell_length_c 8.485
_cell_angle_alpha 90.00
_cell_angle_beta 109.16
_cell_angle_gamma 90.00
loop_
_atom_site_label
_atom_site_type_symbol
_atom_site_fract_x
_atom_site_fract_y
_atom_site_fract_z
Dy1 Dy 0.128 0.000 0.275
Ho1 Ho 0.000 0.500 0.500
Ho2 Ho 0.126 0.500 0.937
Pb1 Pb 0.175 0.000 0.691

# Pm6AlAg3 (GGA-PBE, optimized geometry)
# Fermi-level density of states: 18.3 states/eV per cell
# E: -4.269 eV/atom
# formation enthalpy at 0 K: -183 kJ/mol of formula units
data_Pm6AlAg3
_symmetry_space_group_name_H-M 'P 1 21/m 1'
_symmetry_Int_Tables_number 11
_symmetry_space_group_name_Hall '-P 2yb'
_cell_length_a 9.395
_cell_length_b 5.171
_cell_length_c 11.759
_cell_angle_alpha 90.00
_cell_angle_beta 104.09
_cell_angle_gamma 90.00
loop_
_atom_site_label
_atom_site_type_symbol
_atom_site_fract_x
_atom_site_fract_y
_atom_site_fract_z
Pm1 Pm 0.004 0.250 0.109
Pm2 Pm 0.151 0.250 0.693
Pm3 Pm 0.255 0.750 0.513
Pm4 Pm 0.353 0.250 0.342
Pm5 Pm 0.365 0.750 0.112
Pm6 Pm 0.383 0.750 0.836
Al1 Al 0.452 0.250 0.625
Ag1 Ag 0.034 0.250 0.384
Ag2 Ag 0.141 0.750 0.248
Ag3 Ag 0.273 0.250 0.967